(1)
First-principles (GGA-PBE) data for a relaxed GdHgSe2 crystal, as listed in the Alexandria database.

Electronic total energy (eV per cell): -67.1
Symmetry: R-3m (166)
Theoretical density (g/cm3): 6.689
V (Å³/atom): 32.0

a = 4.174 Å, b = 4.174 Å, c = 25.458 Å
α = 90.00°, β = 90.00°, γ = 120.00°
Fractional positions:
Gd  0.000  0.000  0.000
Gd  0.333  0.667  0.667
Gd  0.667  0.333  0.333
Hg  0.000  0.000  0.500
Hg  0.333  0.667  0.167
Hg  0.667  0.333  0.833
Se  0.000  0.000  0.106
Se  0.000  0.000  0.894
Se  0.333  0.667  0.561
Se  0.333  0.667  0.773
Se  0.667  0.333  0.227
Se  0.667  0.333  0.439

***

(2)
First-principles (GGA-PBE) data for a relaxed AgSeS crystal, as listed in the Alexandria database.

Energy relative to the lowest polymorph listed for this composition (meV per atom): 69.9
Symmetry: P2 (3)
Theoretical density (g/cm3): 5.589
V (Å³/atom): 21.7

a = 4.763 Å, b = 4.076 Å, c = 6.780 Å
α = 90.00°, β = 98.81°, γ = 90.00°
Fractional positions:
Ag  0.146  0.000  0.319
Ag  0.854  0.000  0.681
Se  0.500  0.136  0.000
Se  0.500  0.544  0.500
S  0.208  0.468  0.790
S  0.792  0.468  0.210

***

(3)
First-principles (GGA-PBE) data for a relaxed TiSnMo crystal, as listed in the Alexandria database.

Energy of formation from the pure elements (eV/atom): -0.028
Symmetry: P3m1 (156)
Theoretical density (g/cm3): 8.204
V (Å³/atom): 17.7

a = 4.573 Å, b = 4.573 Å, c = 2.933 Å
α = 90.00°, β = 90.00°, γ = 120.00°
Fractional positions:
Ti  0.000  0.000  0.000
Sn  0.667  0.333  0.381
Mo  0.333  0.667  0.752

***

(4)
First-principles (GGA-PBE) data for a relaxed KMgIn2Cl5 crystal, as listed in the Alexandria database.

Electronic total energy (eV per cell): -59.8
Symmetry: Cmc2_1 (36)
Theoretical density (g/cm3): 2.891
V (Å³/atom): 30.0

a = 9.355 Å, b = 9.355 Å, c = 13.706 Å
α = 90.00°, β = 90.00°, γ = 153.23°
Fractional positions:
K  0.213  0.787  0.500
K  0.787  0.213  0.000
Mg  0.484  0.516  0.928
Mg  0.516  0.484  0.428
In  0.104  0.896  0.175
In  0.155  0.845  0.795
In  0.845  0.155  0.295
In  0.896  0.104  0.675
Cl  0.038  0.962  0.511
Cl  0.274  0.726  0.164
Cl  0.355  0.645  0.864
Cl  0.386  0.614  0.497
Cl  0.469  0.531  0.264
Cl  0.531  0.469  0.764
Cl  0.614  0.386  0.997
Cl  0.645  0.355  0.364
Cl  0.726  0.274  0.664
Cl  0.962  0.038  0.011

***

(5)
First-principles (GGA-PBE) data for a relaxed TbPu3N4 crystal, as listed in the Alexandria database.

Electronic total energy (eV per cell): -183.6
Symmetry: Cmmm (65)
Theoretical density (g/cm3): 13.103
V (Å³/atom): 15.0

a = 6.977 Å, b = 9.861 Å, c = 3.488 Å
α = 90.00°, β = 90.00°, γ = 90.00°
Fractional positions:
Tb  0.000  0.000  0.000
Tb  0.500  0.500  0.000
Pu  0.000  0.500  0.000
Pu  0.250  0.250  0.500
Pu  0.250  0.750  0.500
Pu  0.500  0.000  0.000
Pu  0.750  0.250  0.500
Pu  0.750  0.750  0.500
N  0.000  0.253  0.000
N  0.000  0.747  0.000
N  0.244  0.500  0.500
N  0.256  0.000  0.500
N  0.500  0.247  0.000
N  0.500  0.753  0.000
N  0.744  0.000  0.500
N  0.756  0.500  0.500

***

(6)
First-principles (GGA-PBE) data for a relaxed TbZr3 crystal, as listed in the Alexandria database.

Energy of formation from the pure elements (eV/atom): 0.195
Energy relative to the lowest polymorph listed for this composition (meV per atom): 135.9
Symmetry: Fm-3m (225)
Theoretical density (g/cm3): 7.315
V (Å³/atom): 24.6

a = 7.324 Å, b = 7.324 Å, c = 7.324 Å
α = 90.00°, β = 90.00°, γ = 90.00°
Fractional positions:
Tb  0.000  0.000  0.000
Tb  0.000  0.500  0.500
Tb  0.500  0.000  0.500
Tb  0.500  0.500  0.000
Zr  0.000  0.000  0.500
Zr  0.000  0.500  0.000
Zr  0.250  0.250  0.250
Zr  0.250  0.250  0.750
Zr  0.250  0.750  0.250
Zr  0.250  0.750  0.750
Zr  0.500  0.000  0.000
Zr  0.500  0.500  0.500
Zr  0.750  0.250  0.250
Zr  0.750  0.250  0.750
Zr  0.750  0.750  0.250
Zr  0.750  0.750  0.750

***

(7)
First-principles (GGA-PBE) data for a relaxed Ba2NaMgCu crystal, as listed in the Alexandria database.

Energy of formation from the pure elements (eV/atom): 0.014
Energy relative to the lowest polymorph listed for this composition (meV per atom): 0.0
Symmetry: P4/mmm (123)
Theoretical density (g/cm3): 3.097
V (Å³/atom): 41.3

a = 6.308 Å, b = 6.308 Å, c = 5.195 Å
α = 90.00°, β = 90.00°, γ = 90.00°
Fractional positions:
Ba  0.000  0.500  0.000
Ba  0.500  0.000  0.000
Na  0.000  0.000  0.500
Mg  0.500  0.500  0.500
Cu  0.500  0.500  0.000

***

(8)
First-principles (GGA-PBE) data for a relaxed HfZrH4 crystal, as listed in the Alexandria database.

Electronic total energy (eV per cell): -70.4
Symmetry: I4_1/amd (141)
Theoretical density (g/cm3): 8.546
V (Å³/atom): 8.9

a = 5.550 Å, b = 5.550 Å, c = 5.550 Å
α = 126.70°, β = 126.70°, γ = 78.74°
Fractional positions:
Hf  0.375  0.625  0.750
Hf  0.625  0.375  0.250
Zr  0.125  0.875  0.250
Zr  0.875  0.125  0.750
H  0.000  0.257  0.257
H  0.000  0.743  0.743
H  0.257  0.000  0.757
H  0.257  0.500  0.257
H  0.500  0.257  0.757
H  0.500  0.743  0.243
H  0.743  0.000  0.243
H  0.743  0.500  0.743

***

(9)
First-principles (GGA-PBE) data for a relaxed NaSb2PRh crystal, as listed in the Alexandria database.

Electronic total energy (eV per cell): -15.6
Symmetry: P4/mmm (123)
Theoretical density (g/cm3): 5.290
V (Å³/atom): 25.1

a = 5.181 Å, b = 5.181 Å, c = 4.681 Å
α = 90.00°, β = 90.00°, γ = 90.00°
Fractional positions:
Na  0.000  0.000  0.000
Sb  0.000  0.500  0.000
Sb  0.500  0.000  0.000
P  0.000  0.000  0.500
Rh  0.500  0.500  0.500

***

(10)
First-principles (GGA-PBE) data for a relaxed SbTe2PF crystal, as listed in the Alexandria database.

Energy relative to the lowest polymorph listed for this composition (meV per atom): 0.0
Symmetry: P4/mmm (123)
Theoretical density (g/cm3): 5.040
V (Å³/atom): 28.1

a = 5.251 Å, b = 5.251 Å, c = 5.102 Å
α = 90.00°, β = 90.00°, γ = 90.00°
Fractional positions:
Sb  0.000  0.000  0.000
Te  0.000  0.500  0.500
Te  0.500  0.000  0.500
P  0.000  0.000  0.500
F  0.500  0.500  0.000

***

(11)
First-principles (GGA-PBE) data for a relaxed Sc2Ga6Ir crystal, as listed in the Alexandria database.

Energy of formation from the pure elements (eV/atom): -0.504
Symmetry: Cmmm (65)
Theoretical density (g/cm3): 7.417
V (Å³/atom): 17.4

a = 6.674 Å, b = 6.674 Å, c = 4.129 Å
α = 90.00°, β = 90.00°, γ = 121.50°
Fractional positions:
Sc  0.214  0.786  0.000
Sc  0.786  0.214  0.000
Ga  0.156  0.446  0.500
Ga  0.253  0.253  0.000
Ga  0.446  0.156  0.500
Ga  0.554  0.844  0.500
Ga  0.747  0.747  0.000
Ga  0.844  0.554  0.500
Ir  0.000  0.000  0.500

***

(12)
First-principles (GGA-PBE) data for a relaxed RbMgAu2 crystal, as listed in the Alexandria database.

Energy of formation from the pure elements (eV/atom): -0.380
Symmetry: R-3m (166)
Theoretical density (g/cm3): 6.871
V (Å³/atom): 30.4

a = 4.776 Å, b = 4.776 Å, c = 18.487 Å
α = 90.00°, β = 90.00°, γ = 120.00°
Fractional positions:
Rb  0.000  0.000  0.000
Rb  0.333  0.667  0.667
Rb  0.667  0.333  0.333
Mg  0.000  0.000  0.500
Mg  0.333  0.667  0.167
Mg  0.667  0.333  0.833
Au  0.000  0.000  0.189
Au  0.000  0.000  0.811
Au  0.333  0.667  0.478
Au  0.333  0.667  0.856
Au  0.667  0.333  0.144
Au  0.667  0.333  0.522